A plane-wave DFT calculation with PBE-GGA was carried out for Ac2ErTmSb4 after structural relaxation.

Structure (CIF):
```
data_Ac2ErTmSb4
_space_group_name_H-M_alt 'P 1 2/m 1'
_space_group_IT_number 10
_space_group_name_Hall '-P 2y'
_cell_length_a 7.906
_cell_length_b 4.580
_cell_length_c 7.930
_cell_angle_alpha 90.00
_cell_angle_beta 109.53
_cell_angle_gamma 90.00
loop_
_atom_site_label
_atom_site_fract_x
_atom_site_fract_y
_atom_site_fract_z
Ac1 0.000 0.000 0.000
Ac2 0.000 0.500 0.500
Er1 0.500 0.000 0.500
Tm1 0.500 0.500 0.000
Sb1 0.276 0.000 0.759
Sb2 0.276 0.500 0.258
```

Values from the calculation:
Formation energy (no corrections) (eV per atom): -1.1244
Energy (eV for the cell shown): -42.74

---

A plane-wave DFT calculation with PBE-GGA was carried out for La2Pm2Pr4Sm after structural relaxation.

Structure (CIF):
```
data_La2Pm2Pr4Sm
_space_group_name_H-M_alt 'C 1 2/m 1'
_space_group_IT_number 12
_space_group_name_Hall '-C 2y'
_cell_length_a 19.372
_cell_length_b 3.731
_cell_length_c 9.920
_cell_angle_alpha 90.00
_cell_angle_beta 115.70
_cell_angle_gamma 90.00
loop_
_atom_site_label
_atom_site_fract_x
_atom_site_fract_y
_atom_site_fract_z
La1 0.166 0.000 0.499
Pm1 0.149 0.500 0.168
Pr1 0.018 0.000 0.833
Pr2 0.185 0.500 0.832
Sm1 0.000 0.500 0.500
```

Values from the calculation:
Calculated formation energy (eV per formula unit): 0.08
Energy (eV for the cell shown): -86.23

---

| no. | size of the total moment (μB/f.u.) |
| --- | --- |
| 1 | 0.00 |
| 2 | 0.00 |